1.
# CuTeSe2

CuTeSe2 after structural relaxation (PBE, Alexandria via LeMat-Bulk).

a b c (Å): 8.433 8.433 8.433
angles (deg): 154.02 154.02 37.07
Fractional coordinates of all 4 atoms:
Cu: 0.750 0.250 0.500
Se: 0.000 0.000 0.000
Se: 0.250 0.750 0.500
Te: 0.500 0.500 0.000

Summary:
The formation energy without anion corrections is 0.357 eV per atom. As for the space group: I-4m2 (119). The calculation puts the total magnetic moment at 0.253 μB per formula unit. The value obtained for the electronic total energy is -3.195 eV/atom.



2.
# Ti2OsPbI

Ti2OsPbI after structural relaxation (PBE, Alexandria via LeMat-Bulk).

a b c (Å): 4.981 5.240 4.981
angles (deg): 90.00 90.00 90.00
Fractional coordinates of all 5 atoms:
Ti: 0.500 0.000 0.000
Ti: 0.000 0.000 0.500
Pb: 0.000 0.500 0.000
I: 0.500 0.500 0.500
Os: 0.000 0.000 0.000

Summary:
The formation energy without anion corrections is 0.490 eV per atom. As for the space group: P4/mmm (123). The calculation puts the total magnetic moment at 1.962 μB per formula unit. The value obtained for the electronic total energy is -5.966 eV/atom.